YTl2W3O12 after structural relaxation, computed with PBE+U.

a b c (Å): 7.5075 7.5075 19.0475
angles (deg): 90.00 90.00 120.00
Space group R-3m (No. 166, hexagonal axes)
One atom of each set of equivalent atoms:
Y (0.0000, 0.0000, 0.0000) x3
Tl (0.0000, 0.0000, 0.3362) x6
W (0.0000, 0.5000, 0.5000) x9
O (0.0423, 0.5211, 0.5996) x18
O (0.0914, 0.5457, 0.8439) x18

- Energy: -7.074 eV/atom
- Fermi-level density of states: 0.690 states/eV per atom